No. 1
Density functional theory data (GGA-PBE) for LuTlZnTe3 after structural relaxation.

Summary:
Its polymorph energy (0 for the lowest one) is 0.000 eV per atom. For the calculated density, the calculation gives 7.11 g/cm3. The crystal system is orthorhombic.

```
data_LuTlZnTe3
_cell_length_a 11.4672
_cell_length_b 4.3117
_cell_length_c 15.6432
_cell_angle_alpha 90.00
_cell_angle_beta 90.00
_cell_angle_gamma 90.00
_symmetry_space_group_name_H-M 'P n m a'
_symmetry_Int_Tables_number 62
loop_
_symmetry_equiv_pos_as_xyz
'x,y,z'
'-x,-y,-z'
'-x+1/2,-y,z+1/2'
'x+1/2,y,-z+1/2'
'x+1/2,-y+1/2,-z+1/2'
'-x+1/2,y+1/2,z+1/2'
'-x,y+1/2,-z'
'x,-y+1/2,z'
loop_
_atom_site_label
_atom_site_type_symbol
_atom_site_fract_x
_atom_site_fract_y
_atom_site_fract_z
Lu1 Lu 0.0188 0.2500 0.2451
Tl1 Tl 0.2210 0.7500 0.5086
Zn1 Zn 0.2367 0.2500 0.7165
Te1 Te 0.0404 0.2500 0.6243
Te2 Te 0.0771 0.7500 0.1156
Te3 Te 0.2338 0.7500 0.8232
```

No. 2
Density functional theory data (GGA-PBE) for LiGePd2 after structural relaxation.

Summary:
For the calculated density, the calculation gives 8.66 g/cm3. The crystal system is cubic.

```
data_LiGePd2
_cell_length_a 6.0756
_cell_length_b 6.0756
_cell_length_c 6.0756
_cell_angle_alpha 90.00
_cell_angle_beta 90.00
_cell_angle_gamma 90.00
_symmetry_space_group_name_H-M 'F m -3 m'
_symmetry_Int_Tables_number 225
_symmetry_space_group_name_Hall '-F 4 2 3'
loop_
_atom_site_label
_atom_site_type_symbol
_atom_site_fract_x
_atom_site_fract_y
_atom_site_fract_z
Li1 Li 0.0000 0.0000 0.0000
Ge1 Ge 0.0000 0.0000 0.5000
Pd1 Pd 0.2500 0.2500 0.2500
```

No. 3
Density functional theory data (GGA-PBE) for PmMgBe after structural relaxation.

Summary:
Its polymorph energy (0 for the lowest one) is 0.000 eV per atom. For the calculated density, the calculation gives 4.03 g/cm3. The crystal system is cubic.

```
data_PmMgBe
_cell_length_a 6.6492
_cell_length_b 6.6492
_cell_length_c 6.6492
_cell_angle_alpha 90.00
_cell_angle_beta 90.00
_cell_angle_gamma 90.00
_symmetry_space_group_name_H-M 'F -4 3 m'
_symmetry_Int_Tables_number 216
_symmetry_space_group_name_Hall 'F -4 2 3'
loop_
_atom_site_label
_atom_site_type_symbol
_atom_site_fract_x
_atom_site_fract_y
_atom_site_fract_z
Pm1 Pm 0.0000 0.0000 0.0000
Mg1 Mg 0.2500 0.2500 0.7500
Be1 Be 0.0000 0.0000 0.5000
```

No. 4
Density functional theory data (GGA-PBE) for BeNi after structural relaxation.

Summary:
For the calculated density, the calculation gives 4.36 g/cm3. The crystal system is cubic.

```
data_BeNi
_cell_length_a 4.6892
_cell_length_b 4.6892
_cell_length_c 4.6892
_cell_angle_alpha 90.00
_cell_angle_beta 90.00
_cell_angle_gamma 90.00
_symmetry_space_group_name_H-M 'F -4 3 m'
_symmetry_Int_Tables_number 216
_symmetry_space_group_name_Hall 'F -4 2 3'
loop_
_atom_site_label
_atom_site_type_symbol
_atom_site_fract_x
_atom_site_fract_y
_atom_site_fract_z
Be1 Be 0.0000 0.0000 0.0000
Ni1 Ni 0.2500 0.2500 0.7500
```

No. 5
Density functional theory data (GGA-PBE) for KPtO3 after structural relaxation.

Summary:
For the calculated density, the calculation gives 6.20 g/cm3. The crystal system is tetragonal.

```
data_KPtO3
_cell_length_a 3.9830
_cell_length_b 3.9830
_cell_length_c 4.7654
_cell_angle_alpha 90.00
_cell_angle_beta 90.00
_cell_angle_gamma 90.00
_symmetry_space_group_name_H-M 'P 4 m m'
_symmetry_Int_Tables_number 99
loop_
_symmetry_equiv_pos_as_xyz
'x,y,z'
'-y,x,z'
'-x,-y,z'
'y,-x,z'
'-x,y,z'
'y,x,z'
'x,-y,z'
'-y,-x,z'
loop_
_atom_site_label
_atom_site_type_symbol
_atom_site_fract_x
_atom_site_fract_y
_atom_site_fract_z
K1 K 0.0000 0.0000 0.0000
Pt1 Pt 0.5000 0.5000 0.4633
O1 O 0.0000 0.0000 0.5041
O2 O 0.0000 0.5000 0.5412
```

No. 6
Density functional theory data (GGA-PBE) for GdInB4 after structural relaxation.

Summary:
Its polymorph energy (0 for the lowest one) is 0.153 eV per atom. For the calculated density, the calculation gives 7.43 g/cm3. The crystal system is hexagonal.

```
data_GdInB4
_cell_length_a 3.2363
_cell_length_b 3.2363
_cell_length_c 7.7731
_cell_angle_alpha 90.00
_cell_angle_beta 90.00
_cell_angle_gamma 120.00
_symmetry_space_group_name_H-M 'P 6/m m m'
_symmetry_Int_Tables_number 191
_symmetry_space_group_name_Hall '-P 6 2'
loop_
_atom_site_label
_atom_site_type_symbol
_atom_site_fract_x
_atom_site_fract_y
_atom_site_fract_z
Gd1 Gd 0.0000 0.0000 0.0000
In1 In 0.0000 0.0000 0.5000
B1 B 0.3333 0.6667 0.2544
```

| no. | E_tot (eV per atom) |
| --- | --- |
| 1 | -3.74 |
| 2 | -4.83 |
| 3 | -2.73 |
| 4 | -3.82 |
| 5 | -4.46 |
| 6 | -5.61 |